Entry from Alexandria: MnCr2F after structural relaxation (PBE with a Hubbard U).

Values from the calculation:
SG = No. 122
total energy = -6.27 eV per atom
energy relative to the lowest polymorph listed for this composition = 0.00 kJ per mole of atoms
density of states at the Fermi level = 2.45 states/eV per cell

Cell: 6.8557 6.8557 5.6922 Å, 52.97 52.97 90.00°
With the nearest neighbours (Å) after each atom.
Positions (direct):
Cr 0.5608 0.1250 0.2500  2 F 2.26
Cr 0.1892 0.6250 0.2500  2 F 2.26
Cr 0.3750 0.4392 0.7500  2 F 2.26
Cr 0.8750 0.8108 0.7500  2 F 2.26
Mn 0.0000 0.0000 0.0000  8 Cr 2.85-3.09, 2 F 2.98
Mn 0.7500 0.2500 0.5000  8 Cr 2.85-3.09, 2 F 2.98
F 0.5000 0.5000 0.0000  4 Cr 2.26
F 0.2500 0.7500 0.5000  4 Cr 2.26